! Ba3RhS PBE-GGA relaxed; values from VASP
! Magnetic moment ... 0.00 μB per formula unit
! E above lowest polymorph ... 0 meV/atom
! Final energy ... -3.90 eV per atom
! Uncorrected formation energy ... -0.45 eV per atom
! Space-group type ... Pm-3m (221)
&SYSTEM
  ibrav = 0, nat = 5, ntyp = 3
/
ATOMIC_SPECIES
Rh 102.91 Rh.upf
Ba 137.33 Ba.upf
S 32.06 S.upf
CELL_PARAMETERS angstrom
-0.539 -3.509 4.682
3.592 -3.910 -2.517
4.618 2.631 2.504
ATOMIC_POSITIONS angstrom
Rh 0.000 0.000 0.000
Ba 2.309 1.316 1.252
Ba 1.796 -1.955 -1.258
Ba -0.270 -1.755 2.341
S 3.836 -2.394 2.335